# 1
A relaxed RbCrGe2 crystal, computed with GGA-PBEsol.

Values from the calculation:
Energy of formation = 0.7372 eV/atom

a b c (Å): 4.934 4.934 4.934
angles (deg): 60.00 60.00 60.00
Positions (direct):
Rb  0.000  0.000  0.000
Cr  0.500  0.500  0.500
Ge  0.250  0.250  0.250
Ge  0.750  0.750  0.750



# 2
A relaxed CaIrSe2 crystal, computed with GGA-PBEsol.

Values from the calculation:
Distance to the lowest polymorph of the same formula = 0.0 meV/atom
Formation energy without anion corrections = -0.741 eV/atom

a b c (Å): 6.189 6.189 6.189
angles (deg): 37.92 37.92 37.92
Positions (direct):
Ca  0.000  0.000  0.000
Ir  0.500  0.500  0.500
Se  0.231  0.231  0.231
Se  0.769  0.769  0.769



Theoretical density: 5.528 8.061 (g cm⁻³)
Magnetic moment: 0.9550 0.0001 (μB/atom)
Energy: -4.549 -5.655 (eV/atom)